The following is a PBE-GGA calculation of a relaxed structure of Li2CaC2O6, from Alexandria.

Lattice parameters (Å, degrees): 5.0253 5.0253 6.2415 90.00 90.00 120.00
Atoms (fractional coordinates):
Li1 0.3333 0.6667 0.3038
Li2 0.6667 0.3333 0.6962
Ca1 0.0000 0.0000 0.0000
C1 0.3333 0.6667 0.7727
C2 0.6667 0.3333 0.2273
O1 0.3413 0.4122 0.7728
O2 0.0709 0.6587 0.7728
O3 0.5878 0.9291 0.7728
O4 0.6587 0.5878 0.2272
O5 0.9291 0.3413 0.2272
O6 0.4122 0.0709 0.2272

Values from the calculation:
Formation energy without anion corrections (eV per atom): -2.013
Density (g/cm³): 2.12
Electronic total energy (eV/atom): -6.924

---

The following is a PBE-GGA calculation of a relaxed structure of ZrTa14Nb, from Alexandria.

Lattice parameters (Å, degrees): 5.7788 5.7788 9.4333 90.00 90.00 109.50
Atoms (fractional coordinates):
Zr1 0.1250 0.8750 0.5000
Ta1 0.1250 0.8750 0.0000
Ta2 0.6250 0.3750 0.0000
Ta3 0.1250 0.3751 0.5000
Ta4 0.1250 0.3750 0.0000
Ta5 0.6249 0.8750 0.5000
Ta6 0.6250 0.8750 0.0000
Ta7 0.3815 0.1315 0.7548
Ta8 0.3815 0.1315 0.2452
Ta9 0.8685 0.6185 0.7548
Ta10 0.8685 0.6185 0.2452
Ta11 0.3724 0.6276 0.7514
Ta12 0.3724 0.6276 0.2486
Ta13 0.8776 0.1224 0.7514
Ta14 0.8776 0.1224 0.2486
Nb1 0.6250 0.3750 0.5000

Values from the calculation:
Formation enthalpy at 0 K (eV per atom): 0.034
Density (g/cm³): 15.20
Electronic total energy (eV/atom): -11.501

---

The following is a PBE-GGA calculation of a relaxed structure of SrBeNi2, from Alexandria.

Lattice parameters (Å, degrees): 3.9465 3.9465 5.7571 69.71 69.71 60.04
Atoms (fractional coordinates):
Sr1 0.5031 0.5031 0.4913
Be1 0.3193 0.3193 0.0421
Ni1 0.9902 0.9902 0.0290
Ni2 0.6874 0.6874 0.9377

Values from the calculation:
Formation enthalpy at 0 K (eV per atom): -0.106
Density (g/cm³): 4.99
Electronic total energy (eV/atom): -4.349

---

The following is a PBE-GGA calculation of a relaxed structure of Ca5TiH2N4, from Alexandria.

Lattice parameters (Å, degrees): 5.7688 5.5625 7.0215 90.00 90.00 121.23
Atoms (fractional coordinates):
Ca1 0.0779 0.3650 0.2171
Ca2 0.4192 0.0000 0.5000
Ca3 0.0779 0.3650 0.7829
Ca4 0.7129 0.6350 0.7829
Ca5 0.7129 0.6350 0.2171
Ti1 0.4164 0.0000 0.0000
H1 0.9628 0.6016 0.5000
H2 0.3613 0.3984 0.5000
N1 0.6193 0.0000 0.2258
N2 0.6193 0.0000 0.7742
N3 0.3763 0.3267 0.0000
N4 0.0496 0.6733 0.0000

Values from the calculation:
Density (g/cm³): 2.64
Electronic total energy (eV/atom): -5.754

---

The following is a PBE-GGA calculation of a relaxed structure of Zr4Cd2Hg3, from Alexandria.

Lattice parameters (Å, degrees): 4.4083 5.3927 9.5197 72.66 76.61 65.88
Atoms (fractional coordinates):
Zr1 0.6635 0.5666 0.1063
Zr2 0.0057 0.3171 0.6715
Zr3 0.9943 0.6829 0.3285
Zr4 0.3365 0.4334 0.8937
Cd1 0.3265 0.1213 0.2257
Cd2 0.6735 0.8787 0.7743
Hg1 0.3368 0.7622 0.5642
Hg2 0.0000 0.0000 0.0000
Hg3 0.6632 0.2378 0.4358

Values from the calculation:
Formation enthalpy at 0 K (eV per atom): -0.074
Density (g/cm³): 10.12
Electronic total energy (eV/atom): -4.177

---

The following is a PBE-GGA calculation of a relaxed structure of MgTi2Pt, from Alexandria.

Lattice parameters (Å, degrees): 7.5346 7.5346 5.9668 50.85 50.85 90.00
Atoms (fractional coordinates):
Mg1 0.5000 0.5000 0.0000
Mg2 0.2500 0.7500 0.5000
Pt1 0.0000 0.0000 0.0000
Pt2 0.7500 0.2500 0.5000
Ti1 0.6753 0.1250 0.2500
Ti2 0.0747 0.6250 0.2500
Ti3 0.3750 0.3247 0.7500
Ti4 0.8750 0.9253 0.7500

Values from the calculation:
Formation enthalpy at 0 K (eV per atom): -0.136
Density (g/cm³): 6.86
Electronic total energy (eV/atom): -5.993

---

Number 1: volume 136.5 Å³ per cell. Number 2: volume 296.9 Å³ per cell. Number 3: volume 71.2 Å³ per cell. Number 4: volume 192.7 Å³ per cell. Number 5: volume 195.6 Å³ per cell. Number 6: volume 152.5 Å³ per cell.